Here is a relaxed NiOsNO2 crystal from Alexandria. Energies are from PBE with a Hubbard U.

a b c (Å): 3.850 3.850 3.821
angles (deg): 90.00 90.00 90.00
Fractional coordinates of all 5 atoms:
Ni 0.000 0.000 0.000
Os 0.500 0.500 0.500
N 0.500 0.500 0.000
O 0.000 0.500 0.500
O 0.500 0.000 0.500

## Properties
Total DFT energy (no corrections) (eV per atom): -5.913
Calculated density (Mg/m³): 8.65